The following is a DFT calculation (PBE) of a geometry-optimized BaTePb2 structure.

Summary:
Energy above the lowest structure with this stoichiometry   42 meV/atom
ΔE_f (raw)   -0.5530 eV per atom
Total moment   0.0 μB/f.u.
Total energy   -3.673 eV per atom
Density   7389 kg/m³
Crystal system   orthorhombic

Cell and atoms, written as CIF:
```
data_BaTePb2
_cell_length_a 6.750
_cell_length_b 7.437
_cell_length_c 6.082
_cell_angle_alpha 90.00
_cell_angle_beta 90.00
_cell_angle_gamma 90.00
_space_group_name_H-M_alt 'C m m m'
_space_group_IT_number 65
_space_group_name_Hall '-C 2 2'
loop_
_atom_site_label
_atom_site_fract_x
_atom_site_fract_y
_atom_site_fract_z
_atom_site_occupancy
Ba1 0.000 0.000 0.000 1
Te1 0.000 0.500 0.000 1
Pb1 0.000 0.296 0.500 1
```


The following is a DFT calculation (PBE) of a geometry-optimized Ba2TePb2 structure.

Summary:
Energy above the lowest structure with this stoichiometry   43 meV/atom
ΔE_f (raw)   -0.6121 eV per atom
Total moment   0.0 μB/f.u.
Total energy   -3.493 eV per atom
Density   5869 kg/m³
Crystal system   tetragonal

Cell and atoms, written as CIF:
```
data_Ba2TePb2
_cell_length_a 9.409
_cell_length_b 9.409
_cell_length_c 5.220
_cell_angle_alpha 90.00
_cell_angle_beta 90.00
_cell_angle_gamma 90.00
_space_group_name_H-M_alt 'P 4/m b m'
_space_group_IT_number 127
_space_group_name_Hall '-P 4 2ab'
loop_
_atom_site_label
_atom_site_fract_x
_atom_site_fract_y
_atom_site_fract_z
_atom_site_occupancy
Ba1 0.193 0.307 0.000 1
Te1 0.000 0.000 0.000 1
Pb1 0.107 0.607 0.500 1
```


The following is a DFT calculation (PBE) of a geometry-optimized Ba3Te4Pb structure.

Summary:
Energy above the lowest structure with this stoichiometry   99 meV/atom
ΔE_f (raw)   -1.3248 eV per atom
Total moment   0.0 μB/f.u.
Total energy   -4.080 eV per atom
Density   4496 kg/m³
Crystal system   orthorhombic

Cell and atoms, written as CIF:
```
data_Ba3Te4Pb
_cell_length_a 11.810
_cell_length_b 10.121
_cell_length_c 6.980
_cell_angle_alpha 90.00
_cell_angle_beta 90.00
_cell_angle_gamma 90.00
_space_group_name_H-M_alt 'P m n 21'
_space_group_IT_number 31
loop_
_space_group_symop_operation_xyz
'x,y,z'
'-x+1/2,-y,z+1/2'
'-x,y,z'
'x+1/2,-y,z+1/2'
loop_
_atom_site_label
_atom_site_fract_x
_atom_site_fract_y
_atom_site_fract_z
_atom_site_occupancy
Ba1 0.000 0.156 0.000 1
Ba2 0.246 0.331 0.500 1
Te1 0.000 0.146 0.499 1
Te2 0.000 0.822 0.022 1
Te3 0.244 0.674 0.499 1
Pb1 0.000 0.826 0.467 1
```